Crystalline UPaP2 at its relaxed geometry. Source: Alexandria, functional PBE.

Output
Crystal system: trigonal
DOS at the Fermi energy (states/eV per cell): 23.899
ΔE to the lowest computed polymorph (meV per atom): 0

Cell: 3.9227 3.9227 19.6321 Å, 90.00 90.00 120.00°
With the nearest neighbours (Å) after each atom.
Space group R-3m (No. 166, hexagonal axes)
One atom of each set of equivalent atoms:
U: 0.0000 0.0000 0.0000 [3 per cell]  6 P 2.78
Pa: 0.0000 0.0000 0.5000 [3 per cell]  6 P 2.81
P: 0.0000 0.0000 0.2510 [6 per cell]  3 U 2.78, 3 Pa 2.81